1.
Here is a relaxed structure of ZnGaMoIr from Alexandria. Energies are from PBE.

Lattice parameters (Å, degrees): 6.183 6.183 6.183 90.00 90.00 90.00
Fractional positions:
Zn  0.000  0.000  0.000
Zn  0.000  0.500  0.500
Zn  0.500  0.000  0.500
Zn  0.500  0.500  0.000
Ga  0.000  0.000  0.500
Ga  0.000  0.500  0.000
Ga  0.500  0.000  0.000
Ga  0.500  0.500  0.500
Mo  0.250  0.250  0.750
Mo  0.250  0.750  0.250
Mo  0.750  0.250  0.250
Mo  0.750  0.750  0.750
Ir  0.250  0.250  0.250
Ir  0.250  0.750  0.750
Ir  0.750  0.250  0.750
Ir  0.750  0.750  0.250

Values from the calculation:
uncorrected energy: -5.9943 eV/atom
ΔE to the lowest computed polymorph: 128.6 meV per atom
calculated formation energy: 4 meV per atom
symmetry: F-43m
D(E_F): 0.31 states/eV/atom



2.
Here is a relaxed structure of TaBe2Ga2 from Alexandria. Energies are from PBE.

Lattice parameters (Å, degrees): 6.755 6.755 2.897 90.00 90.00 90.00
Fractional positions:
Ta  0.000  0.000  0.000
Ta  0.500  0.500  0.000
Be  0.121  0.379  0.000
Be  0.379  0.879  0.000
Be  0.621  0.121  0.000
Be  0.879  0.621  0.000
Ga  0.172  0.672  0.500
Ga  0.328  0.172  0.500
Ga  0.672  0.828  0.500
Ga  0.828  0.328  0.500

Values from the calculation:
uncorrected energy: -4.9809 eV/atom
calculated formation energy: 91 meV per atom
symmetry: P4/mbm
D(E_F): 0.23 states/eV/atom



3.
Here is a relaxed structure of Tb3TeO6 from Alexandria. Energies are from PBE.

Lattice parameters (Å, degrees): 6.826 6.826 6.826 93.61 93.61 93.61
Fractional positions:
Tb  0.048  0.565  0.751
Tb  0.249  0.952  0.435
Tb  0.435  0.249  0.952
Tb  0.565  0.751  0.048
Tb  0.751  0.048  0.565
Tb  0.952  0.435  0.249
Te  0.000  0.000  0.000
Te  0.500  0.500  0.500
O  0.027  0.908  0.691
O  0.092  0.309  0.973
O  0.169  0.629  0.447
O  0.309  0.973  0.092
O  0.371  0.553  0.831
O  0.447  0.169  0.629
O  0.553  0.831  0.371
O  0.629  0.447  0.169
O  0.691  0.027  0.908
O  0.831  0.371  0.553
O  0.908  0.691  0.027
O  0.973  0.092  0.309

Values from the calculation:
uncorrected energy: -7.4175 eV/atom
uncorrected formation energy: -2.739 eV per atom
symmetry: R-3



4.
Here is a relaxed structure of AcGaO from Alexandria. Energies are from PBE.

Lattice parameters (Å, degrees): 3.692 3.692 9.224 90.00 90.00 90.00
Fractional positions:
Ac  0.250  0.250  0.169
Ac  0.750  0.750  0.831
Ga  0.250  0.750  0.500
Ga  0.750  0.250  0.500
O  0.250  0.250  0.896
O  0.750  0.750  0.104

Values from the calculation:
uncorrected energy: -5.8944 eV/atom
uncorrected formation energy: -1.863 eV per atom
ΔE to the lowest computed polymorph: 177.2 meV per atom
symmetry: P4/nmm
D(E_F): 0.56 states/eV/atom



5.
Here is a relaxed structure of MgIrOF2 from Alexandria. Energies are from PBE.

Lattice parameters (Å, degrees): 4.506 4.506 3.728 90.00 90.00 90.00
Fractional positions:
Mg  0.000  0.000  0.000
Ir  0.500  0.500  0.500
O  0.500  0.500  0.000
F  0.000  0.500  0.500
F  0.500  0.000  0.500

Values from the calculation:
uncorrected energy: -4.7021 eV/atom
uncorrected formation energy: -0.871 eV per atom
ΔE to the lowest computed polymorph: 190.9 meV per atom
symmetry: P4/mmm
D(E_F): 0.64 states/eV/atom